Record 1
An optimized crystal structure of ZrScO2, computed with PBE-GGA.

* symmetry: No. 225
* formation energy without anion corrections: -2061.0 meV/atom
* Fermi-level density of states: 0.34 states/eV/atom

The structure in extended XYZ format:
```
4
Lattice="-3.1983 -2.3496 -0.2988 -2.8729 0.8723 -2.6124 -0.5079 -2.2684 -3.2304" Properties=species:S:1:pos:R:3 pbc="T T T"
Sc 0.0000 0.0000 0.0000
O -1.6448 -0.9364 -1.5354
O -4.9343 -2.8093 -4.6062
Zr -3.2896 -1.8729 -3.0708
```



Record 2
An optimized crystal structure of ZrTe2Br, computed with PBE-GGA.

* symmetry: No. 123
* formation energy without anion corrections: -529.6 meV/atom
* Fermi-level density of states: 0.76 states/eV/atom
* energy relative to the lowest polymorph listed for this composition: 0.209 eV/atom

The structure in extended XYZ format:
```
4
Lattice="-1.8921 -2.5777 1.9887 2.9000 -2.3799 -0.3257 2.9716 2.7469 6.3878" Properties=species:S:1:pos:R:3 pbc="T T T"
Te 0.1444 0.1335 0.3104
Te 1.3414 1.2400 2.8835
Br 2.7327 -0.4186 5.6224
Zr 1.2468 -1.7921 2.4285
```



Record 3
An optimized crystal structure of BaP2, computed with PBE-GGA.

* symmetry: No. 141
* Fermi-level density of states: 0.33 states/eV/atom
* energy of formation from the pure elements: -1.7 eV/f.u.

The structure in extended XYZ format:
```
12
Lattice="-15.7229 11.8646 1.0342 -15.9943 9.7344 6.2024 17.4853 -8.7258 -2.6781" Properties=species:S:1:pos:R:3 pbc="T T T"
P -23.7704 16.1873 5.4234
P -7.9468 5.4117 1.8131
P -14.9599 12.3570 2.7923
P 0.8637 1.5814 -0.8180
P -19.3946 13.2074 4.4250
P -12.3227 8.3916 2.8115
P -10.5840 9.3771 1.7939
P -3.5122 4.5612 0.1804
Ba -29.5995 20.1569 6.7534
Ba -2.1177 1.4421 0.4832
Ba -5.0661 4.4619 3.0881
Ba -9.3015 7.3462 4.0545
```



Record 4
An optimized crystal structure of Y2Co2Pt, computed with PBE-GGA.

* symmetry: No. 139
* Fermi-level density of states: 0.95 states/eV/atom
* energy relative to the lowest polymorph listed for this composition: 0.103 eV/atom
* energy of formation from the pure elements: -1.9 eV/f.u.

The structure in extended XYZ format:
```
5
Lattice="-3.0712 0.5843 1.3924 -0.5909 -3.3692 0.1105 1.5242 -1.7335 8.2952" Properties=species:S:1:pos:R:3 pbc="T T T"
Y -1.1134 -1.4654 2.3651
Y -1.0246 -3.0530 7.4330
Co -1.6891 -1.2708 5.2196
Co -0.4489 -3.2476 4.5786
Pt 0.0000 0.0000 0.0000
```



Record 5
An optimized crystal structure of CaMgTl6, computed with PBE-GGA.

* symmetry: No. 123
* Fermi-level density of states: 0.59 states/eV/atom
* energy relative to the lowest polymorph listed for this composition: 0.015 eV/atom
* energy of formation from the pure elements: -0.8 eV/f.u.

The structure in extended XYZ format:
```
8
Lattice="4.8990 0.0000 0.0000 0.0000 4.8990 0.0000 0.0000 0.0000 9.4634" Properties=species:S:1:pos:R:3 pbc="T T T"
Ca 0.0000 0.0000 0.0000
Mg 0.0000 0.0000 4.7317
Tl 2.4495 2.4495 0.0000
Tl 2.4495 2.4495 4.7317
Tl 2.4495 0.0000 2.4526
Tl 2.4495 0.0000 7.0107
Tl 0.0000 2.4495 2.4526
Tl 0.0000 2.4495 7.0107
```



Record 6
An optimized crystal structure of CaTa, computed with PBE-GGA.

* symmetry: No. 216
* Fermi-level density of states: 1.48 states/eV/atom
* energy relative to the lowest polymorph listed for this composition: 2.672 eV/atom
* energy of formation from the pure elements: 6.1 eV/f.u.

The structure in extended XYZ format:
```
8
Lattice="7.3170 0.0000 0.0000 0.0000 7.3170 0.0000 0.0000 0.0000 7.3170" Properties=species:S:1:pos:R:3 pbc="T T T"
Ca 1.8293 1.8293 1.8293
Ca 1.8293 5.4878 5.4878
Ca 5.4878 1.8293 5.4878
Ca 5.4878 5.4878 1.8293
Ta 0.0000 0.0000 0.0000
Ta 0.0000 3.6585 3.6585
Ta 3.6585 0.0000 3.6585
Ta 3.6585 3.6585 0.0000
```



Record 7
An optimized crystal structure of LiMg2Re, computed with PBE-GGA.

* symmetry: No. 8
* Fermi-level density of states: 0.50 states/eV/atom
* energy relative to the lowest polymorph listed for this composition: 0.099 eV/atom
* energy of formation from the pure elements: 1.1 eV/f.u.

The structure in extended XYZ format:
```
4
Lattice="5.1434 0.0110 0.0535 4.4046 2.6559 0.0535 0.8895 0.2485 4.9705" Properties=species:S:1:pos:R:3 pbc="T T T"
Li 2.5494 0.7121 1.2256
Mg 9.5569 2.6694 0.2653
Mg 7.8305 2.1872 3.5504
Re 5.2674 1.4713 2.6818
```



Record 8
An optimized crystal structure of Pr2DyTh, computed with PBE-GGA.

* symmetry: No. 123
* Fermi-level density of states: 1.19 states/eV/atom
* energy relative to the lowest polymorph listed for this composition: 0.021 eV/atom
* energy of formation from the pure elements: 0.2 eV/f.u.

The structure in extended XYZ format:
```
4
Lattice="-2.6739 -4.3679 0.4578 3.0279 -1.4463 3.8848 -3.1713 2.2898 3.3243" Properties=species:S:1:pos:R:3 pbc="T T T"
Pr -1.5857 1.1449 1.6622
Pr 1.5139 -0.7232 1.9424
Th -1.3369 -2.1839 0.2289
Dy -1.4087 -1.7622 3.8335
```



Record 9
An optimized crystal structure of Mg2AlZn, computed with PBE-GGA.

* symmetry: No. 12
* Fermi-level density of states: 0.30 states/eV/atom
* energy of formation from the pure elements: 0.1 eV/f.u.

The structure in extended XYZ format:
```
4
Lattice="5.0339 0.0227 0.0219 4.1298 2.8784 0.0219 0.9920 0.3140 5.3352" Properties=species:S:1:pos:R:3 pbc="T T T"
Mg 1.0114 0.3202 5.3194
Mg 5.0584 1.6014 2.7053
Zn 7.6167 2.4113 4.0342
Al 2.5389 0.8038 1.3447
```



Record 10
An optimized crystal structure of Sm3AlPd3, computed with PBE-GGA.

* symmetry: No. 63
* Fermi-level density of states: 0.75 states/eV/atom
* energy of formation from the pure elements: -5.7 eV/f.u.

The structure in extended XYZ format:
```
14
Lattice="-4.0934 -0.0154 0.6502 2.2902 -5.1166 1.0867 2.1677 3.8880 13.7377" Properties=species:S:1:pos:R:3 pbc="T T T"
Sm 2.0472 1.3028 12.9184
Sm -1.6828 -2.5467 2.5563
Sm 1.4118 0.1630 8.8911
Sm -1.0473 -1.4069 6.5835
Sm 1.8653 -2.1241 11.6919
Sm -1.5008 0.8801 3.7827
Al -2.0467 -0.0077 0.3251
Al -0.9629 1.9363 7.1940
Pd 0.1334 -0.8461 14.0291
Pd 0.2311 -0.3978 1.4456
Pd -0.5594 -2.0886 9.6389
Pd 0.9239 0.8447 5.8358
Pd -0.2881 0.1120 11.3988
Pd 0.6525 -1.3559 4.0758
```



Record 11
An optimized crystal structure of Pt2Au, computed with PBE-GGA.

* symmetry: No. 164
* Fermi-level density of states: 1.55 states/eV/atom
* energy relative to the lowest polymorph listed for this composition: 0.000 eV/atom
* energy of formation from the pure elements: 0.1 eV/f.u.

The structure in extended XYZ format:
```
3
Lattice="2.8317 0.0000 0.0000 -1.4159 2.4523 0.0000 0.0000 0.0000 7.0938" Properties=species:S:1:pos:R:3 pbc="T T T"
Au 0.0000 0.0000 0.0000
Pt 0.0000 1.6349 4.7008
Pt 1.4159 0.8174 2.3930
```



Record 12
An optimized crystal structure of Sr4InCu, computed with PBE-GGA.

* symmetry: No. 62
* Fermi-level density of states: 0.94 states/eV/atom
* energy relative to the lowest polymorph listed for this composition: 0.000 eV/atom
* energy of formation from the pure elements: -0.8 eV/f.u.

The structure in extended XYZ format:
```
24
Lattice="4.4533 0.0000 0.0000 0.0000 9.4716 0.0000 0.0000 0.0000 21.7059" Properties=species:S:1:pos:R:3 pbc="T T T"
Sr 3.3400 8.0907 13.9907
Sr 1.1133 1.3810 7.7152
Sr 1.1133 6.1168 3.1378
Sr 3.3400 3.3549 18.5681
Sr 3.3400 8.1116 9.6608
Sr 1.1133 1.3601 12.0450
Sr 1.1133 6.0959 20.5138
Sr 3.3400 3.3757 1.1921
Sr 3.3400 9.3775 20.1658
Sr 1.1133 0.0941 1.5401
Sr 1.1133 4.8299 9.3128
Sr 3.3400 4.6417 12.3931
Sr 3.3400 9.2737 4.8655
Sr 1.1133 0.1979 16.8403
Sr 1.1133 4.9337 15.7185
Sr 3.3400 4.5379 5.9874
In 3.3400 6.8979 17.6380
In 1.1133 2.5737 4.0679
In 1.1133 7.3096 6.7851
In 3.3400 2.1621 14.9208
Cu 3.3400 2.4647 9.8097
Cu 1.1133 7.0070 11.8962
Cu 1.1133 2.2712 20.6626
Cu 3.3400 7.2005 1.0432
```



Record 13
An optimized crystal structure of Ca2ZrCd, computed with PBE-GGA.

* symmetry: No. 123
* Fermi-level density of states: 1.32 states/eV/atom
* energy of formation from the pure elements: 0.8 eV/f.u.

The structure in extended XYZ format:
```
4
Lattice="-0.3208 -3.6695 -3.4165 3.3422 -2.4213 2.2867 -3.3167 -2.1268 2.5957" Properties=species:S:1:pos:R:3 pbc="T T T"
Ca 0.0000 0.0000 0.0000
Ca 0.0127 -2.2740 2.4412
Zr -1.8188 -2.8981 -0.4104
Cd 1.5107 -3.0454 -0.5649
```



Record 14
An optimized crystal structure of TmTl3Bi2Te6, computed with PBE-GGA.

* symmetry: No. 12
* formation energy without anion corrections: -546.7 meV/atom

The structure in extended XYZ format:
```
12
Lattice="-1.7533 -7.1827 -2.6307 3.5048 0.8828 6.9658 -7.7840 2.5528 2.1195" Properties=species:S:1:pos:R:3 pbc="T T T"
Tm 0.0000 0.0000 0.0000
Tl -1.2721 0.8018 6.4105
Tl -4.7604 -4.5489 0.0440
Tl -3.0163 -1.8735 3.2273
Bi 1.7492 -1.8102 3.7616
Bi 0.0023 -4.4897 0.5735
Te -5.6112 -4.1325 3.4179
Te -0.3756 -4.1555 3.6983
Te -0.4213 0.3854 3.0367
Te -3.9020 -1.5107 6.5374
Te -5.6570 0.4084 2.7563
Te -2.1305 -2.2364 -0.0828
```



Record 15
An optimized crystal structure of PrTmNi2, computed with PBE-GGA.

* symmetry: No. 38
* Fermi-level density of states: 0.61 states/eV/atom
* energy relative to the lowest polymorph listed for this composition: 0.000 eV/atom
* energy of formation from the pure elements: -1.5 eV/f.u.

The structure in extended XYZ format:
```
4
Lattice="-1.5860 1.3035 3.1839 -3.8559 -1.0152 -1.5052 1.1987 -5.3365 0.5283" Properties=species:S:1:pos:R:3 pbc="T T T"
Pr -2.1240 -2.1689 0.8701
Tm 0.0295 -4.2613 2.7983
Ni -1.1533 -4.8604 0.1986
Ni 0.6589 -3.0279 0.3542
```



Record 16
An optimized crystal structure of LiLa2MgS, computed with PBE-GGA.

* symmetry: No. 123
* formation energy without anion corrections: -739.0 meV/atom
* Fermi-level density of states: 0.89 states/eV/atom

The structure in extended XYZ format:
```
5
Lattice="-5.3582 0.9673 -1.6274 -1.8393 -1.5025 5.1627 0.3558 4.2788 1.3720" Properties=species:S:1:pos:R:3 pbc="T T T"
S 0.0000 0.0000 0.0000
Li 0.1779 2.1394 0.6860
Mg -3.4209 1.8718 2.4537
La -0.9196 -0.7513 2.5814
La -2.6791 0.4837 -0.8137
```



Record 17
An optimized crystal structure of PaTl3F7, computed with PBE-GGA.

* symmetry: No. 8
* formation energy without anion corrections: -2758.7 meV/atom
* Fermi-level density of states: 0.31 states/eV/atom

The structure in extended XYZ format:
```
11
Lattice="0.5373 -4.7533 4.0041 0.4491 -4.0885 -4.6902 6.6575 -3.0933 -0.3040" Properties=species:S:1:pos:R:3 pbc="T T T"
Pa 1.1279 -8.5735 -0.6670
Tl 3.7913 -6.1490 1.7043
Tl 7.0808 -7.5152 -0.6464
Tl 3.7467 -5.8126 -2.6954
F 1.3750 -1.5979 -0.1361
F 1.8844 -4.1468 2.1053
F 5.9641 -8.3495 2.1644
F 1.8352 -3.7757 -2.7487
F 2.1444 -6.4276 -0.5132
F 5.9063 -7.9143 -3.5284
F 6.1377 -10.1334 -0.8370
```



Record 18
An optimized crystal structure of RbSn2PdCl, computed with PBE-GGA.

* symmetry: No. 123
* formation energy without anion corrections: -474.6 meV/atom
* Fermi-level density of states: 0.43 states/eV/atom

The structure in extended XYZ format:
```
5
Lattice="5.0277 0.0000 0.0000 0.0000 7.3643 0.0000 0.0000 0.0000 5.0277" Properties=species:S:1:pos:R:3 pbc="T T T"
Rb 0.0000 3.6822 0.0000
Sn 0.0000 0.0000 2.5138
Sn 2.5138 0.0000 0.0000
Pd 0.0000 0.0000 0.0000
Cl 2.5138 3.6822 2.5138
```



Record 19
An optimized crystal structure of BaNiIr2, computed with PBE-GGA.

* symmetry: No. 160
* Fermi-level density of states: 1.27 states/eV/atom
* energy of formation from the pure elements: -0.5 eV/f.u.

The structure in extended XYZ format:
```
4
Lattice="4.3706 0.0015 -0.0155 2.1835 3.7861 -0.0155 2.2066 1.2752 5.5953" Properties=species:S:1:pos:R:3 pbc="T T T"
Ni 4.3852 2.5342 3.9005
Ir 2.2026 1.2729 4.4450
Ir 6.5713 3.7975 4.2548
Ba 2.1886 1.2648 1.3415
```



Record 20
An optimized crystal structure of Li8PdAu2, computed with PBE-GGA.

* symmetry: No. 12
* Fermi-level density of states: 0.29 states/eV/atom
* energy of formation from the pure elements: -4.1 eV/f.u.

The structure in extended XYZ format:
```
11
Lattice="4.3133 0.0000 0.0000 0.0000 6.8357 -0.1999 -2.1567 -3.1190 5.9406" Properties=species:S:1:pos:R:3 pbc="T T T"
Li 0.0000 1.4626 4.4393
Li 2.1567 5.0352 1.8149
Li 2.1567 3.3214 4.0566
Li 2.1567 -1.0501 5.5717
Li 0.0000 0.3952 1.6841
Li 0.0000 -1.3186 3.9258
Li 2.1567 2.2541 1.3014
Li 0.0000 4.7668 0.1690
Pd 2.1567 0.0000 0.0000
Au 2.1567 0.4541 3.3595
Au 0.0000 3.2625 2.3812
```



Record 21
An optimized crystal structure of LiTbInPb, computed with PBE-GGA.

* symmetry: No. 216
* Fermi-level density of states: 0.52 states/eV/atom
* energy relative to the lowest polymorph listed for this composition: 0.080 eV/atom
* energy of formation from the pure elements: -1.3 eV/f.u.

The structure in extended XYZ format:
```
4
Lattice="-1.2612 -2.2693 -4.5427 0.9731 -5.0871 -0.7422 -3.9567 -3.4174 -0.2076" Properties=species:S:1:pos:R:3 pbc="T T T"
Pb -1.0612 -2.6934 -1.3731
Li 0.0000 0.0000 0.0000
Tb -2.1224 -5.3869 -2.7463
In -3.1836 -8.0803 -4.1194
```



Record 22
An optimized crystal structure of Be2InMo, computed with PBE-GGA.

* symmetry: No. 44
* Fermi-level density of states: 0.58 states/eV/atom
* energy of formation from the pure elements: 1.0 eV/f.u.

The structure in extended XYZ format:
```
4
Lattice="5.0744 0.0177 0.0084 2.6150 4.3503 -0.0083 -3.7860 -2.2874 2.4888" Properties=species:S:1:pos:R:3 pbc="T T T"
Be 7.4665 4.2418 0.0003
Be 2.7150 0.0416 1.2485
Mo 1.3427 2.1269 1.2405
In 0.1270 -0.0650 2.4886
```



Record 23
An optimized crystal structure of La2MgPb, computed with PBE-GGA.

* symmetry: No. 47
* Fermi-level density of states: 0.69 states/eV/atom
* energy of formation from the pure elements: -1.5 eV/f.u.

The structure in extended XYZ format:
```
4
Lattice="3.7093 0.0000 0.0000 0.0000 4.5557 0.0000 0.0000 0.0000 7.4314" Properties=species:S:1:pos:R:3 pbc="T T T"
Pb 1.8546 2.2779 5.5736
Mg 1.8546 2.2779 1.8579
La 0.0000 0.0000 7.4147
La 0.0000 0.0000 3.7324
```



Record 24
An optimized crystal structure of YMgPdF2, computed with PBE-GGA.

* symmetry: No. 123
* formation energy without anion corrections: -705.4 meV/atom
* Fermi-level density of states: 0.48 states/eV/atom
* energy relative to the lowest polymorph listed for this composition: 1.087 eV/atom

The structure in extended XYZ format:
```
5
Lattice="-4.2643 0.1503 -1.6273 -1.8430 -1.2768 4.7114 -0.2625 4.4254 1.0966" Properties=species:S:1:pos:R:3 pbc="T T T"
Y -0.9215 -0.6384 2.3557
Mg -3.1849 1.6494 2.0903
Pd 0.0000 0.0000 0.0000
F -0.1313 2.2127 0.5483
F -2.1322 0.0752 -0.8137
```



Record 25
An optimized crystal structure of Ca2Hg2Au, computed with PBE-GGA.

* symmetry: No. 127
* Fermi-level density of states: 0.46 states/eV/atom
* energy relative to the lowest polymorph listed for this composition: 0.117 eV/atom
* energy of formation from the pure elements: -2.0 eV/f.u.

The structure in extended XYZ format:
```
10
Lattice="8.0950 0.0000 0.0000 0.0000 8.0950 0.0000 0.0000 0.0000 4.3752" Properties=species:S:1:pos:R:3 pbc="T T T"
Ca 2.6901 6.7376 0.0000
Ca 6.7376 5.4048 0.0000
Ca 5.4048 1.3573 0.0000
Ca 1.3573 2.6901 0.0000
Au 0.0000 0.0000 0.0000
Au 4.0475 4.0475 0.0000
Hg 1.0946 5.1420 2.1876
Hg 5.1420 7.0004 2.1876
Hg 7.0004 2.9529 2.1876
Hg 2.9529 1.0946 2.1876
```



no.,magnetization (Bohr magnetons per cell)
1,0.00
2,0.00
3,0.00
4,2.76
5,0.00
6,20.07
7,0.00
8,0.00
9,0.00
10,0.00
11,0.00
12,0.00
13,0.40
14,0.00
15,0.00
16,0.00
17,0.98
18,0.00
19,1.16
20,0.00
21,0.00
22,0.00
23,0.00
24,0.00
25,0.00